Record 1
Entry from Alexandria via LeMat-Bulk: PrScFe after structural relaxation (PBE-GGA).

Results
**Mass density**: 5.64 g/cm³
**VASP energy**: -6.50 eV per atom
**Crystal system**: orthorhombic
**Symmetry**: No. 64
**DOS(E_F)**: 1.22 states/eV per atom
**Volume**: 23.72 Å³ per atom

Cell lengths 6.937, 6.937, 7.043 Å; angles 90.00, 90.00, 122.87 degrees
Positions (direct):
Pr1 0.195 0.805 0.890
Pr2 0.305 0.695 0.390
Pr3 0.695 0.305 0.610
Pr4 0.805 0.195 0.110
Sc1 0.213 0.287 0.750
Sc2 0.287 0.213 0.250
Sc3 0.713 0.787 0.750
Sc4 0.787 0.713 0.250
Fe1 0.089 0.911 0.537
Fe2 0.411 0.589 0.037
Fe3 0.589 0.411 0.963
Fe4 0.911 0.089 0.463

Record 2
Entry from Alexandria via LeMat-Bulk: PrScFe4 after structural relaxation (PBE-GGA).

Results
**Mass density**: 7.14 g/cm³
**VASP energy**: -7.52 eV per atom
**Crystal system**: cubic
**Symmetry**: No. 216
**DOS(E_F)**: 1.32 states/eV per atom
**Volume**: 15.86 Å³ per atom

Cell lengths 5.125, 5.125, 5.125 Å; angles 60.00, 60.00, 60.00 degrees
Positions (direct):
Pr1 0.000 0.000 0.000
Sc1 0.250 0.250 0.250
Fe1 0.127 0.624 0.624
Fe2 0.624 0.127 0.624
Fe3 0.624 0.624 0.127
Fe4 0.624 0.624 0.624

Record 3
Entry from Alexandria via LeMat-Bulk: Pr3Fe5Se12 after structural relaxation (PBE-GGA).

Results
**Mass density**: 5.72 g/cm³
**VASP energy**: -5.66 eV per atom
**Crystal system**: cubic
**Symmetry**: No. 230
**Raw formation energy**: -740 meV per atom
**DOS(E_F)**: 0.95 states/eV per atom
**Volume**: 23.95 Å³ per atom

Cell lengths 13.552, 13.552, 13.552 Å; angles 109.47, 109.47, 109.47 degrees
Positions (direct):
Pr1 0.125 0.250 0.375
Pr2 0.125 0.375 0.750
Pr3 0.250 0.375 0.125
Pr4 0.250 0.875 0.625
Pr5 0.375 0.125 0.250
Pr6 0.375 0.750 0.125
Pr7 0.625 0.250 0.875
Pr8 0.625 0.875 0.750
Pr9 0.750 0.125 0.375
Pr10 0.750 0.625 0.875
Pr11 0.875 0.625 0.250
Pr12 0.875 0.750 0.625
Fe1 0.000 0.000 0.000
Fe2 0.000 0.000 0.500
Fe3 0.000 0.500 0.000
Fe4 0.000 0.500 0.500
Fe5 0.125 0.750 0.875
Fe6 0.125 0.875 0.250
Fe7 0.250 0.125 0.875
Fe8 0.250 0.625 0.375
Fe9 0.375 0.250 0.625
Fe10 0.375 0.625 0.750
Fe11 0.500 0.000 0.000
Fe12 0.500 0.000 0.500
Fe13 0.500 0.500 0.000
Fe14 0.500 0.500 0.500
Fe15 0.625 0.375 0.250
Fe16 0.625 0.750 0.375
Fe17 0.750 0.375 0.625
Fe18 0.750 0.875 0.125
Fe19 0.875 0.125 0.750
Fe20 0.875 0.250 0.125
Se1 0.023 0.198 0.114
Se2 0.023 0.325 0.909
Se3 0.084 0.698 0.675
Se4 0.084 0.886 0.409
Se5 0.091 0.614 0.416
Se6 0.091 0.977 0.675
Se7 0.114 0.023 0.198
Se8 0.114 0.591 0.916
Se9 0.175 0.198 0.584
Se10 0.175 0.477 0.591
Se11 0.198 0.114 0.023
Se12 0.198 0.584 0.175
Se13 0.302 0.325 0.916
Se14 0.302 0.477 0.386
Se15 0.325 0.909 0.023
Se16 0.325 0.916 0.302
Se17 0.386 0.302 0.477
Se18 0.386 0.584 0.909
Se19 0.409 0.084 0.886
Se20 0.409 0.825 0.523
Se21 0.416 0.091 0.614
Se22 0.416 0.825 0.802
Se23 0.477 0.386 0.302
Se24 0.477 0.591 0.175
Se25 0.523 0.409 0.825
Se26 0.523 0.614 0.698
Se27 0.584 0.175 0.198
Se28 0.584 0.909 0.386
Se29 0.591 0.175 0.477
Se30 0.591 0.916 0.114
Se31 0.614 0.416 0.091
Se32 0.614 0.698 0.523
Se33 0.675 0.084 0.698
Se34 0.675 0.091 0.977
Se35 0.698 0.523 0.614
Se36 0.698 0.675 0.084
Se37 0.802 0.416 0.825
Se38 0.802 0.886 0.977
Se39 0.825 0.523 0.409
Se40 0.825 0.802 0.416
Se41 0.886 0.409 0.084
Se42 0.886 0.977 0.802
Se43 0.909 0.023 0.325
Se44 0.909 0.386 0.584
Se45 0.916 0.114 0.591
Se46 0.916 0.302 0.325
Se47 0.977 0.675 0.091
Se48 0.977 0.802 0.886

Record 4
Entry from Alexandria via LeMat-Bulk: PrFeSi after structural relaxation (PBE-GGA).

Results
**Mass density**: 6.11 g/cm³
**VASP energy**: -6.57 eV per atom
**Crystal system**: hexagonal
**Symmetry**: No. 187
**Raw formation energy**: -353 meV per atom
**DOS(E_F)**: 1.12 states/eV per atom
**Volume**: 20.36 Å³ per atom

Cell lengths 4.090, 4.090, 4.217 Å; angles 90.00, 90.00, 120.00 degrees
Positions (direct):
Pr1 0.000 0.000 0.000
Fe1 0.333 0.667 0.500
Si1 0.667 0.333 0.500

Record 5
Entry from Alexandria via LeMat-Bulk: Pr2Fe12Si7 after structural relaxation (PBE-GGA).

Results
**Mass density**: 6.78 g/cm³
**VASP energy**: -7.46 eV per atom
**Crystal system**: hexagonal
**Symmetry**: No. 174
**Raw formation energy**: -357 meV per atom
**DOS(E_F)**: 0.90 states/eV per atom
**Volume**: 13.40 Å³ per atom

Cell lengths 9.206, 9.206, 3.835 Å; angles 90.00, 90.00, 120.00 degrees
Positions (direct):
Pr1 0.000 0.000 0.000
Pr2 0.333 0.667 0.500
Fe1 0.034 0.292 0.500
Fe2 0.130 0.764 0.000
Fe3 0.236 0.365 0.000
Fe4 0.258 0.966 0.500
Fe5 0.383 0.185 0.000
Fe6 0.564 0.428 0.500
Fe7 0.572 0.136 0.500
Fe8 0.635 0.870 0.000
Fe9 0.708 0.742 0.500
Fe10 0.802 0.617 0.000
Fe11 0.815 0.198 0.000
Fe12 0.864 0.436 0.500
Si1 0.042 0.469 0.000
Si2 0.272 0.238 0.500
Si3 0.427 0.958 0.000
Si4 0.531 0.573 0.000
Si5 0.667 0.333 0.000
Si6 0.762 0.034 0.500
Si7 0.966 0.728 0.500

Record 6
Entry from Alexandria via LeMat-Bulk: PrFe10Si2 after structural relaxation (PBE-GGA).

Results
**Mass density**: 7.48 g/cm³
**VASP energy**: -7.89 eV per atom
**Crystal system**: orthorhombic
**Symmetry**: No. 63
**Raw formation energy**: -178 meV per atom
**DOS(E_F)**: 0.82 states/eV per atom
**Volume**: 12.90 Å³ per atom

Cell lengths 6.417, 6.417, 8.222 Å; angles 90.00, 90.00, 97.94 degrees
Positions (direct):
Pr1 0.120 0.880 0.750
Pr2 0.880 0.120 0.250
Fe1 0.130 0.388 0.750
Fe2 0.166 0.834 0.104
Fe3 0.166 0.834 0.396
Fe4 0.235 0.235 0.000
Fe5 0.235 0.235 0.500
Fe6 0.242 0.480 0.250
Fe7 0.388 0.130 0.250
Fe8 0.394 0.606 0.576
Fe9 0.394 0.606 0.924
Fe10 0.480 0.242 0.750
Fe11 0.520 0.758 0.250
Fe12 0.606 0.394 0.076
Fe13 0.606 0.394 0.424
Fe14 0.612 0.870 0.750
Fe15 0.758 0.520 0.750
Fe16 0.765 0.765 0.000
Fe17 0.765 0.765 0.500
Fe18 0.834 0.166 0.604
Fe19 0.834 0.166 0.896
Fe20 0.870 0.612 0.250
Si1 0.000 0.500 0.000
Si2 0.000 0.500 0.500
Si3 0.500 0.000 0.000
Si4 0.500 0.000 0.500

Record 7
Entry from Alexandria via LeMat-Bulk: PrFe3Si3 after structural relaxation (PBE-GGA).

Results
**Mass density**: 5.20 g/cm³
**VASP energy**: -6.65 eV per atom
**Crystal system**: cubic
**Symmetry**: No. 223
**Raw formation energy**: -13 meV per atom
**DOS(E_F)**: 1.05 states/eV per atom
**Volume**: 17.92 Å³ per atom

Cell lengths 6.307, 6.307, 6.307 Å; angles 90.00, 90.00, 90.00 degrees
Positions (direct):
Pr1 0.000 0.000 0.000
Pr2 0.500 0.500 0.500
Fe1 0.000 0.250 0.500
Fe2 0.000 0.750 0.500
Fe3 0.250 0.500 0.000
Fe4 0.500 0.000 0.250
Fe5 0.500 0.000 0.750
Fe6 0.750 0.500 0.000
Si1 0.000 0.500 0.250
Si2 0.000 0.500 0.750
Si3 0.250 0.000 0.500
Si4 0.500 0.250 0.000
Si5 0.500 0.750 0.000
Si6 0.750 0.000 0.500

Record 8
Entry from Alexandria via LeMat-Bulk: PrFe9Si4 after structural relaxation (PBE-GGA).

Results
**Mass density**: 7.10 g/cm³
**VASP energy**: -7.71 eV per atom
**Crystal system**: tetragonal
**Symmetry**: No. 140
**Raw formation energy**: -379 meV per atom
**DOS(E_F)**: 1.00 states/eV per atom
**Volume**: 12.63 Å³ per atom

Cell lengths 7.993, 7.993, 7.993 Å; angles 121.30, 121.30, 87.76 degrees
Positions (direct):
Pr1 0.250 0.250 0.000
Pr2 0.750 0.750 0.000
Fe1 0.000 0.500 0.500
Fe2 0.056 0.556 0.253
Fe3 0.067 0.800 0.867
Fe4 0.197 0.944 0.500
Fe5 0.200 0.067 0.268
Fe6 0.300 0.567 0.867
Fe7 0.303 0.803 0.747
Fe8 0.433 0.300 0.732
Fe9 0.444 0.697 0.500
Fe10 0.500 0.000 0.500
Fe11 0.556 0.303 0.500
Fe12 0.567 0.700 0.268
Fe13 0.697 0.197 0.253
Fe14 0.700 0.433 0.133
Fe15 0.800 0.933 0.732
Fe16 0.803 0.056 0.500
Fe17 0.933 0.200 0.133
Fe18 0.944 0.444 0.747
Si1 0.052 0.208 0.500
Si2 0.208 0.708 0.156
Si3 0.292 0.448 0.500
Si4 0.448 0.948 0.156
Si5 0.552 0.052 0.844
Si6 0.708 0.552 0.500
Si7 0.792 0.292 0.844
Si8 0.948 0.792 0.500

Record 9
Entry from Alexandria via LeMat-Bulk: PrFeSi after structural relaxation (PBE-GGA).

Results
**Mass density**: 6.39 g/cm³
**VASP energy**: -6.78 eV per atom
**Crystal system**: tetragonal
**Symmetry**: No. 129
**Raw formation energy**: -558 meV per atom
**DOS(E_F)**: 1.02 states/eV per atom
**Volume**: 19.49 Å³ per atom

Cell lengths 4.067, 4.067, 7.070 Å; angles 90.00, 90.00, 90.00 degrees
Positions (direct):
Pr1 0.250 0.250 0.186
Pr2 0.750 0.750 0.814
Fe1 0.250 0.750 0.500
Fe2 0.750 0.250 0.500
Si1 0.250 0.250 0.659
Si2 0.750 0.750 0.341

Record 10
Entry from Alexandria via LeMat-Bulk: PrSm2Fe after structural relaxation (PBE-GGA).

Results
**Mass density**: 6.93 g/cm³
**Energy above the lowest structure with this stoichiometry**: 79 kJ/mol of formula units
**VASP energy**: -5.32 eV per atom
**Crystal system**: trigonal
**Symmetry**: No. 166
**DOS(E_F)**: 1.35 states/eV per atom
**Volume**: 29.82 Å³ per atom

Cell lengths 3.566, 3.566, 32.483 Å; angles 90.00, 90.00, 120.00 degrees
Positions (direct):
Pr1 0.000 0.000 0.000
Pr2 0.333 0.667 0.667
Pr3 0.667 0.333 0.333
Sm1 0.000 0.000 0.109
Sm2 0.000 0.000 0.891
Sm3 0.333 0.667 0.557
Sm4 0.333 0.667 0.776
Sm5 0.667 0.333 0.224
Sm6 0.667 0.333 0.443
Fe1 0.000 0.000 0.500
Fe2 0.333 0.667 0.167
Fe3 0.667 0.333 0.833

Record 11
Entry from Alexandria via LeMat-Bulk: PrSm2Fe after structural relaxation (PBE-GGA).

Results
**Mass density**: 7.34 g/cm³
**Energy above the lowest structure with this stoichiometry**: 0 kJ/mol of formula units
**VASP energy**: -5.53 eV per atom
**Crystal system**: tetragonal
**Symmetry**: No. 123
**DOS(E_F)**: 1.65 states/eV per atom
**Volume**: 28.12 Å³ per atom

Cell lengths 3.514, 3.514, 9.109 Å; angles 90.00, 90.00, 90.00 degrees
Positions (direct):
Pr1 0.000 0.000 0.000
Sm1 0.500 0.500 0.317
Sm2 0.500 0.500 0.683
Fe1 0.000 0.000 0.500

Record 12
Entry from Alexandria via LeMat-Bulk: Pr3FeSn after structural relaxation (PBE-GGA).

Results
**Mass density**: 6.86 g/cm³
**VASP energy**: -5.53 eV per atom
**Crystal system**: cubic
**Symmetry**: No. 221
**DOS(E_F)**: 0.81 states/eV per atom
**Volume**: 28.91 Å³ per atom

Cell lengths 5.248, 5.248, 5.248 Å; angles 90.00, 90.00, 90.00 degrees
Positions (direct):
Pr1 0.000 0.000 0.500
Pr2 0.000 0.500 0.000
Pr3 0.500 0.000 0.000
Fe1 0.000 0.000 0.000
Sn1 0.500 0.500 0.500

Record 13
Entry from Alexandria via LeMat-Bulk: PrFe4Sn12 after structural relaxation (PBE-GGA).

Results
**Mass density**: 7.30 g/cm³
**VASP energy**: -5.07 eV per atom
**Crystal system**: cubic
**Symmetry**: No. 204
**DOS(E_F)**: 1.05 states/eV per atom
**Volume**: 23.93 Å³ per atom

Cell lengths 8.084, 8.084, 8.084 Å; angles 109.47, 109.47, 109.47 degrees
Positions (direct):
Pr1 0.000 0.000 0.000
Fe1 0.000 0.000 0.500
Fe2 0.000 0.500 0.000
Fe3 0.500 0.000 0.000
Fe4 0.500 0.500 0.500
Sn1 0.159 0.331 0.828
Sn2 0.172 0.503 0.331
Sn3 0.172 0.841 0.669
Sn4 0.331 0.172 0.503
Sn5 0.331 0.828 0.159
Sn6 0.497 0.669 0.828
Sn7 0.503 0.331 0.172
Sn8 0.669 0.172 0.841
Sn9 0.669 0.828 0.497
Sn10 0.828 0.159 0.331
Sn11 0.828 0.497 0.669
Sn12 0.841 0.669 0.172

Record 14
Entry from Alexandria via LeMat-Bulk: Pr4FeSn8 after structural relaxation (PBE-GGA).

Results
**Mass density**: 7.35 g/cm³
**VASP energy**: -5.15 eV per atom
**Crystal system**: orthorhombic
**Symmetry**: No. 25
**DOS(E_F)**: 0.61 states/eV per atom
**Volume**: 27.28 Å³ per atom

Cell lengths 4.526, 4.619, 16.962 Å; angles 90.00, 90.00, 90.00 degrees
Positions (direct):
Pr1 0.000 0.000 0.000
Pr2 0.000 0.500 0.495
Pr3 0.500 0.000 0.794
Pr4 0.500 0.500 0.297
Fe1 0.000 0.500 0.700
Sn1 0.000 0.000 0.333
Sn2 0.000 0.000 0.638
Sn3 0.000 0.500 0.147
Sn4 0.000 0.500 0.850
Sn5 0.500 0.000 0.150
Sn6 0.500 0.000 0.455
Sn7 0.500 0.500 0.636
Sn8 0.500 0.500 0.967

Record 15
Entry from Alexandria via LeMat-Bulk: PrFe2Sn7 after structural relaxation (PBE-GGA).

Results
**Mass density**: 6.75 g/cm³
**VASP energy**: -4.91 eV per atom
**Crystal system**: orthorhombic
**Symmetry**: No. 65
**DOS(E_F)**: 0.70 states/eV per atom
**Volume**: 26.65 Å³ per atom

Cell lengths 7.555, 7.555, 4.886 Å; angles 90.00, 90.00, 107.19 degrees
Positions (direct):
Pr1 0.000 0.000 0.000
Fe1 0.295 0.705 0.500
Fe2 0.705 0.295 0.500
Sn1 0.072 0.335 0.500
Sn2 0.290 0.710 0.000
Sn3 0.335 0.072 0.500
Sn4 0.500 0.500 0.500
Sn5 0.665 0.928 0.500
Sn6 0.710 0.290 0.000
Sn7 0.928 0.665 0.500

Record 16
Entry from Alexandria via LeMat-Bulk: Pr2FeSn after structural relaxation (PBE-GGA).

Results
**Mass density**: 6.90 g/cm³
**VASP energy**: -5.09 eV per atom
**Crystal system**: trigonal
**Symmetry**: No. 166
**DOS(E_F)**: 1.14 states/eV per atom
**Volume**: 27.47 Å³ per atom

Cell lengths 3.482, 3.482, 31.404 Å; angles 90.00, 90.00, 120.00 degrees
Positions (direct):
Pr1 0.000 0.000 0.081
Pr2 0.000 0.000 0.919
Pr3 0.333 0.667 0.585
Pr4 0.333 0.667 0.748
Pr5 0.667 0.333 0.252
Pr6 0.667 0.333 0.415
Fe1 0.000 0.000 0.000
Fe2 0.333 0.667 0.667
Fe3 0.667 0.333 0.333
Sn1 0.000 0.000 0.500
Sn2 0.333 0.667 0.167
Sn3 0.667 0.333 0.833

Record 17
Entry from Alexandria via LeMat-Bulk: TbPrFe4 after structural relaxation (PBE-GGA).

Results
**Mass density**: 8.62 g/cm³
**VASP energy**: -7.18 eV per atom
**Crystal system**: cubic
**Symmetry**: No. 216
**DOS(E_F)**: 1.16 states/eV per atom
**Volume**: 16.79 Å³ per atom

Cell lengths 5.223, 5.223, 5.223 Å; angles 60.00, 60.00, 60.00 degrees
Positions (direct):
Tb1 0.000 0.000 0.000
Pr1 0.750 0.750 0.750
Fe1 0.375 0.375 0.375
Fe2 0.375 0.375 0.876
Fe3 0.375 0.876 0.375
Fe4 0.876 0.375 0.375

Record 18
Entry from Alexandria via LeMat-Bulk: Tb3PrFe after structural relaxation (PBE-GGA).

Results
**Mass density**: 7.41 g/cm³
**VASP energy**: -5.31 eV per atom
**Crystal system**: cubic
**Symmetry**: No. 221
**DOS(E_F)**: 1.93 states/eV per atom
**Volume**: 30.18 Å³ per atom

Cell lengths 5.324, 5.324, 5.324 Å; angles 90.00, 90.00, 90.00 degrees
Positions (direct):
Tb1 0.000 0.000 0.500
Tb2 0.000 0.500 0.000
Tb3 0.500 0.000 0.000
Pr1 0.500 0.500 0.500
Fe1 0.000 0.000 0.000

Record 19
Entry from Alexandria via LeMat-Bulk: TbPr3Fe after structural relaxation (PBE-GGA).

Results
**Mass density**: 6.61 g/cm³
**VASP energy**: -5.26 eV per atom
**Crystal system**: cubic
**Symmetry**: No. 221
**DOS(E_F)**: 1.85 states/eV per atom
**Volume**: 32.02 Å³ per atom

Cell lengths 5.430, 5.430, 5.430 Å; angles 90.00, 90.00, 90.00 degrees
Positions (direct):
Tb1 0.000 0.000 0.000
Pr1 0.000 0.500 0.500
Pr2 0.500 0.000 0.500
Pr3 0.500 0.500 0.000
Fe1 0.500 0.500 0.500